Compound: KCuNi2
Source: Alexandria via LeMat-Bulk
Functional: meta-GGA SCAN
Structure: single point on PBEsol structure

Structure (extended XYZ):
```
4
Lattice="2.653 0.000 0.000 0.000 3.302 0.000 0.000 0.000 7.309" Properties=species:S:1:pos:R:3 pbc="T T T"
Cu 0.000 0.000 3.028
K 1.327 1.651 5.542
Ni 0.000 0.000 0.649
Ni 1.327 1.651 1.744
```

Summary:
Its volume is 64 Å³ per cell. As for the space group: Pmm2, No. 25. Its mass density is 5.706 g/cm3. For the total energy, the calculation gives -53.811 eV for the cell shown.